## Pr2Sm5Tm4 (PBE-GGA)

Data for crystalline Pr2Sm5Tm4 at its relaxed geometry.

Summary:
ΔE_f in eV/f.u.: 1.88
Energy above the lowest structure with this stoichiometry in meV per atom: 148.8
Final energy in eV per atom: -4.469
Spin magnetization in Bohr magnetons per cell: 0.00

Unit cell a=12.7168 b=12.7168 c=12.7168 alpha=164.09 beta=138.08 gamma=45.11
Sites, in units of the cell vectors:
Pr 0.2324 0.2324 0.0000
Pr 0.7676 0.7676 0.0000
Sm 0.1614 0.3587 0.8028
Sm 0.4441 0.6413 0.8028
Sm 0.5000 0.0000 0.5000
Sm 0.5559 0.3587 0.1972
Sm 0.8386 0.6413 0.1972
Tm 0.0962 0.0962 0.0000
Tm 0.1842 0.5000 0.6842
Tm 0.8158 0.5000 0.3158
Tm 0.9038 0.9038 0.0000

## BaP2C2 (PBE-GGA)

Data for crystalline BaP2C2 at its relaxed geometry.

Summary:
ΔE_f in eV/f.u.: 3.29
Energy above the lowest structure with this stoichiometry in meV per atom: 58.5
Final energy in eV per atom: -5.581
Spin magnetization in Bohr magnetons per cell: 0.00

Unit cell a=6.7984 b=6.7984 c=4.5317 alpha=90.00 beta=90.00 gamma=90.00
Sites, in units of the cell vectors:
Ba 0.0000 0.0000 0.0000
Ba 0.5000 0.5000 0.0000
P 0.1083 0.3917 0.5000
P 0.3917 0.8917 0.5000
P 0.6083 0.1083 0.5000
P 0.8917 0.6083 0.5000
C 0.0685 0.5685 0.0000
C 0.4315 0.0685 0.0000
C 0.5685 0.9315 0.0000
C 0.9315 0.4315 0.0000

## Li2CrTc (PBE-GGA)

Data for crystalline Li2CrTc at its relaxed geometry.

Summary:
ΔE_f in eV/f.u.: 1.38
Energy above the lowest structure with this stoichiometry in meV per atom: 105.5
Final energy in eV per atom: -5.610
Spin magnetization in Bohr magnetons per cell: 0.25

Unit cell a=2.4527 b=4.6658 c=4.8183 alpha=90.00 beta=104.61 gamma=90.00
Sites, in units of the cell vectors:
Li 0.2295 0.0000 0.2488
Li 0.7705 0.0000 0.7512
Cr 0.0000 0.5000 0.5000
Tc 0.5000 0.5000 0.0000

## BaSr2Tl2In2 (PBE-GGA)

Data for crystalline BaSr2Tl2In2 at its relaxed geometry.

Summary:
ΔE_f in eV/f.u.: -2.10
Final energy in eV per atom: -2.513
Spin magnetization in Bohr magnetons per cell: 0.00

Unit cell a=10.5796 b=10.5796 c=10.5796 alpha=29.17 beta=29.17 gamma=29.17
Sites, in units of the cell vectors:
Ba 0.0000 0.0000 0.0000
Sr 0.1360 0.1360 0.1360
Sr 0.8640 0.8640 0.8640
Tl 0.2633 0.2633 0.2633
Tl 0.7367 0.7367 0.7367
In 0.4318 0.4318 0.4318
In 0.5682 0.5682 0.5682

## LiPrMg2Se4 (PBE-GGA)

Data for crystalline LiPrMg2Se4 at its relaxed geometry.

Summary:
Final energy in eV per atom: -4.396
Spin magnetization in Bohr magnetons per cell: 0.00

Unit cell a=6.9539 b=6.9539 c=13.3190 alpha=90.00 beta=90.00 gamma=146.20
Sites, in units of the cell vectors:
Li 0.1492 0.8508 0.7500
Li 0.8508 0.1492 0.2500
Pr 0.1205 0.8795 0.2500
Pr 0.8795 0.1205 0.7500
Mg 0.3746 0.6254 0.0570
Mg 0.3746 0.6254 0.4430
Mg 0.6254 0.3746 0.5570
Mg 0.6254 0.3746 0.9430
Se 0.0000 0.0000 0.0000
Se 0.0000 0.0000 0.5000
Se 0.2742 0.7258 0.6145
Se 0.2742 0.7258 0.8855
Se 0.4533 0.5467 0.2500
Se 0.5467 0.4533 0.7500
Se 0.7258 0.2742 0.1145
Se 0.7258 0.2742 0.3855

## Ho4Zr6Sc19 (PBE-GGA)

Data for crystalline Ho4Zr6Sc19 at its relaxed geometry.

Summary:
ΔE_f in eV/f.u.: 1.91
Final energy in eV per atom: -6.482
Spin magnetization in Bohr magnetons per cell: 0.00

Unit cell a=8.2120 b=10.1841 c=10.6514 alpha=62.05 beta=69.21 gamma=71.94
Sites, in units of the cell vectors:
Ho 0.0000 0.0000 0.0000
Ho 0.0752 0.6521 0.6482
Ho 0.5184 0.3326 0.0962
Ho 0.7871 0.4507 0.5730
Zr 0.2592 0.1668 0.0405
Zr 0.3362 0.8292 0.6830
Zr 0.4140 0.9829 0.8142
Zr 0.4494 0.1454 0.4491
Zr 0.5867 0.9891 0.2274
Zr 0.9894 0.4960 0.0145
Sc 0.0955 0.3273 0.2870
Sc 0.0967 0.1504 0.6468
Sc 0.1275 0.8388 0.2714
Sc 0.1828 0.9932 0.4233
Sc 0.2052 0.4968 0.4023
Sc 0.2566 0.6671 0.0374
Sc 0.3625 0.3113 0.6714
Sc 0.4038 0.4964 0.8110
Sc 0.4509 0.6838 0.4454
Sc 0.5266 0.8133 0.0914
Sc 0.6273 0.4584 0.2767
Sc 0.6476 0.1438 0.8800
Sc 0.6597 0.6566 0.8587
Sc 0.7397 0.8231 0.4937
Sc 0.7717 0.0703 0.5845
Sc 0.8625 0.1571 0.2309
Sc 0.8667 0.6857 0.2262
Sc 0.9186 0.8319 0.8600
Sc 0.9290 0.3411 0.8635

## TcOs2Pt (PBE-GGA)

Data for crystalline TcOs2Pt at its relaxed geometry.

Summary:
ΔE_f in eV/f.u.: 0.42
Energy above the lowest structure with this stoichiometry in meV per atom: 77.0
Final energy in eV per atom: -9.611
Spin magnetization in Bohr magnetons per cell: 0.00

Unit cell a=4.7504 b=4.7504 c=2.7488 alpha=90.00 beta=90.00 gamma=109.49
Sites, in units of the cell vectors:
Tc 0.0000 0.0000 0.0000
Os 0.0000 0.5000 0.5000
Os 0.5000 0.0000 0.5000
Pt 0.5000 0.5000 0.0000

## Pm6CuIr2Cl3 (PBE-GGA)

Data for crystalline Pm6CuIr2Cl3 at its relaxed geometry.

Summary:
Final energy in eV per atom: -5.722
Spin magnetization in Bohr magnetons per cell: 0.00

Unit cell a=7.1111 b=7.1111 c=7.8436 alpha=98.69 beta=98.69 gamma=120.02
Sites, in units of the cell vectors:
Pm 0.0885 0.4311 0.7932
Pm 0.2264 0.2264 0.2073
Pm 0.4311 0.0885 0.7932
Pm 0.5689 0.9115 0.2068
Pm 0.7736 0.7736 0.7927
Pm 0.9115 0.5689 0.2068
Cu 0.5000 0.5000 0.0000
Ir 0.1665 0.8335 0.0000
Ir 0.8335 0.1665 0.0000
Cl 0.0000 0.0000 0.5000
Cl 0.3310 0.6690 0.5000
Cl 0.6690 0.3310 0.5000